Entry 1:
Below is a relaxed structure of Rb7AuN12, with properties calculated at the PBE level.

Values from the calculation:
As for the crystal system: trigonal. For the formation energy (no corrections), the calculation gives 44.51 kcal/mol of atoms. For the density of states at the Fermi level, the calculation gives 28.30 states/eV/cell.

abc: 13.1334 13.1334 9.5234
angles: 90.00 90.00 120.00
Space group R-3 (No. 148, hexagonal axes)
One atom of each set of equivalent atoms:
Rb 0.0000 0.0000 0.0000
Rb 0.0005 0.2425 0.7227
Au 0.0000 0.0000 0.5000
N 0.0054 0.1408 0.3938
N 0.0804 0.5013 0.7049

***

Entry 2:
Below is a relaxed structure of RbAuS2N, with properties calculated at the PBE level.

Values from the calculation:
As for the crystal system: tetragonal. For the formation energy (no corrections), the calculation gives 16.03 kcal/mol of atoms. Its energy above the most stable polymorph in this dataset is 0 meV per atom. For the density of states at the Fermi level, the calculation gives 4.43 states/eV/cell.

abc: 5.401 5.401 3.846
angles: 90.00 90.00 90.00
Space group P4/mmm (No. 123)
One atom of each set of equivalent atoms:
Rb 0.000 0.000 0.000
Au 0.500 0.500 0.500
S 0.000 0.500 0.500
N 0.500 0.500 0.000

***

Entry 3:
Below is a relaxed structure of RbAuSN2, with properties calculated at the PBE level.

Values from the calculation:
As for the crystal system: tetragonal. For the formation energy (no corrections), the calculation gives 57.44 kcal/mol of atoms. Its energy above the most stable polymorph in this dataset is 1127 meV per atom. For the density of states at the Fermi level, the calculation gives 4.15 states/eV/cell.

abc: 5.188 5.188 6.361
angles: 90.00 90.00 90.00
Space group P4/mmm (No. 123)
One atom of each set of equivalent atoms:
Rb 0.000 0.000 0.000
Au 0.500 0.500 0.500
S 0.000 0.000 0.500
N 0.000 0.500 0.000

***

Entry 4:
Below is a relaxed structure of RbAuSN2, with properties calculated at the PBE level.

Values from the calculation:
As for the crystal system: tetragonal. For the formation energy (no corrections), the calculation gives 31.44 kcal/mol of atoms. Its energy above the most stable polymorph in this dataset is 0 meV per atom. For the density of states at the Fermi level, the calculation gives 4.43 states/eV/cell.

abc: 4.241 4.241 5.119
angles: 90.00 90.00 90.00
Space group P4/mmm (No. 123)
One atom of each set of equivalent atoms:
Rb 0.000 0.000 0.000
Au 0.500 0.500 0.500
S 0.500 0.500 0.000
N 0.000 0.500 0.500

***

Entry 5:
Below is a relaxed structure of RbAuS2N, with properties calculated at the PBE level.

Values from the calculation:
As for the crystal system: tetragonal. For the formation energy (no corrections), the calculation gives 46.13 kcal/mol of atoms. Its energy above the most stable polymorph in this dataset is 1305 meV per atom. For the density of states at the Fermi level, the calculation gives 5.58 states/eV/cell.

abc: 5.971 5.971 5.289
angles: 90.00 90.00 90.00
Space group P4/mmm (No. 123)
One atom of each set of equivalent atoms:
Rb 0.000 0.000 0.000
Au 0.500 0.500 0.500
S 0.000 0.500 0.000
N 0.000 0.000 0.500

***

Entry 6:
Below is a relaxed structure of RbSc2AuN, with properties calculated at the PBE level.

Values from the calculation:
As for the crystal system: tetragonal. For the formation energy (no corrections), the calculation gives 39.23 kcal/mol of atoms. For the density of states at the Fermi level, the calculation gives 4.99 states/eV/cell.

abc: 5.224 5.224 4.210
angles: 90.00 90.00 90.00
Space group P4/mmm (No. 123)
One atom of each set of equivalent atoms:
Rb 0.000 0.000 0.000
Sc 0.000 0.500 0.000
Au 0.500 0.500 0.500
N 0.000 0.000 0.500

***

Entry 7:
Below is a relaxed structure of RbAuSeN2, with properties calculated at the PBE level.

Values from the calculation:
As for the crystal system: tetragonal. For the formation energy (no corrections), the calculation gives 30.61 kcal/mol of atoms. Its energy above the most stable polymorph in this dataset is 0 meV per atom. For the density of states at the Fermi level, the calculation gives 3.18 states/eV/cell.

abc: 4.480 4.480 5.467
angles: 90.00 90.00 90.00
Space group P4/mmm (No. 123)
One atom of each set of equivalent atoms:
Rb 0.000 0.000 0.000
Au 0.500 0.500 0.500
Se 0.500 0.500 0.000
N 0.000 0.500 0.500

***

Entry 8:
Below is a relaxed structure of RbAuSeN2, with properties calculated at the PBE level.

Values from the calculation:
As for the crystal system: tetragonal. For the formation energy (no corrections), the calculation gives 54.63 kcal/mol of atoms. Its energy above the most stable polymorph in this dataset is 1042 meV per atom. For the density of states at the Fermi level, the calculation gives 4.75 states/eV/cell.

abc: 5.080 5.080 6.736
angles: 90.00 90.00 90.00
Space group P4/mmm (No. 123)
One atom of each set of equivalent atoms:
Rb 0.000 0.000 0.000
Au 0.500 0.500 0.500
Se 0.000 0.000 0.500
N 0.000 0.500 0.000

***

Entry 9:
Below is a relaxed structure of RbTeAuN2, with properties calculated at the PBE level.

Values from the calculation:
As for the crystal system: tetragonal. For the formation energy (no corrections), the calculation gives 31.96 kcal/mol of atoms. Its energy above the most stable polymorph in this dataset is 0 meV per atom. For the density of states at the Fermi level, the calculation gives 2.60 states/eV/cell.

abc: 4.279 4.279 9.027
angles: 90.00 90.00 90.00
Space group P4/mmm (No. 123)
One atom of each set of equivalent atoms:
Rb 0.000 0.000 0.000
Te 0.000 0.000 0.500
Au 0.500 0.500 0.000
N 0.000 0.500 0.500

***

Entry 10:
Below is a relaxed structure of RbTeAuN2, with properties calculated at the PBE level.

Values from the calculation:
As for the crystal system: tetragonal. For the formation energy (no corrections), the calculation gives 33.22 kcal/mol of atoms. Its energy above the most stable polymorph in this dataset is 55 meV per atom. For the density of states at the Fermi level, the calculation gives 3.25 states/eV/cell.

abc: 4.644 4.644 5.703
angles: 90.00 90.00 90.00
Space group P4/mmm (No. 123)
One atom of each set of equivalent atoms:
Rb 0.000 0.000 0.000
Te 0.500 0.500 0.000
Au 0.500 0.500 0.500
N 0.000 0.500 0.500

***

Entry 11:
Below is a relaxed structure of RbTeAuN2, with properties calculated at the PBE level.

Values from the calculation:
As for the crystal system: tetragonal. For the formation energy (no corrections), the calculation gives 51.85 kcal/mol of atoms. Its energy above the most stable polymorph in this dataset is 863 meV per atom. For the density of states at the Fermi level, the calculation gives 4.87 states/eV/cell.

abc: 4.996 4.996 7.413
angles: 90.00 90.00 90.00
Space group P4/mmm (No. 123)
One atom of each set of equivalent atoms:
Rb 0.000 0.000 0.000
Te 0.000 0.000 0.500
Au 0.500 0.500 0.500
N 0.000 0.500 0.000

***

Entry 12:
Below is a relaxed structure of RbWAu2N, with properties calculated at the PBE level.

Values from the calculation:
As for the crystal system: tetragonal. For the formation energy (no corrections), the calculation gives 17.84 kcal/mol of atoms. For the density of states at the Fermi level, the calculation gives 2.68 states/eV/cell.

abc: 5.255 5.255 3.874
angles: 90.00 90.00 90.00
Space group P4/mmm (No. 123)
One atom of each set of equivalent atoms:
Rb 0.000 0.000 0.000
W 0.500 0.500 0.000
Au 0.000 0.500 0.500
N 0.500 0.500 0.500